# CoCuRe PBE relaxed
data_CoCuRe
_symmetry_space_group_name_H-M 'P 1'
_symmetry_Int_Tables_number 1
_cell_length_a 4.089
_cell_length_b 4.089
_cell_length_c 2.548
_cell_angle_alpha 90.00
_cell_angle_beta 90.00
_cell_angle_gamma 120.00
loop_
_symmetry_equiv_pos_as_xyz
'x,y,z'
loop_
_atom_site_label
_atom_site_fract_x
_atom_site_fract_y
_atom_site_fract_z
Co1 0.000 0.000 0.161
Cu1 0.667 0.333 0.172
Re1 0.333 0.667 0.667
# * space-group type: P3m1
# * D(E_F): 1.46 states/eV per cell
# * ρ: 13.9 g/cm³
# * calculated volume: 12.30 Å³ per atom
# * polymorph energy (0 for the lowest one): 8.4 meV per atom
# * energy relative to the elements: 0.1837 eV per atom
# * calculated total energy: -7.6997 eV/atom